No. 1
{"formula": "LuOs", "functional": "PBE-GGA", "state": "optimized geometry", "lattice": [[0.000, 3.083, 3.083], [3.083, 0.000, 3.083], [3.083, 3.083, 0.000]], "species": ["Lu", "Os"], "fractional_positions": [[0.000, 0.000, 0.000], [0.750, 0.750, 0.750]], "e_form_kcal_per_mol_atoms": 38.76, "m_tot_mub_per_atom": 0.50}

No. 2
{"formula": "SrCuAgGe2", "functional": "PBE-GGA", "state": "optimized geometry", "lattice": [[-2.201, 2.201, 5.282], [2.201, -2.201, 5.282], [2.201, 2.201, -5.282]], "species": ["Sr", "Cu", "Ag", "Ge", "Ge"], "fractional_positions": [[0.000, 0.000, 0.000], [0.750, 0.250, 0.500], [0.250, 0.750, 0.500], [0.380, 0.380, 0.000], [0.620, 0.620, 0.000]], "final_energy_ev_per_atom": -3.83}

No. 3
{"formula": "Fe", "functional": "PBE-GGA", "state": "optimized geometry", "lattice": [[0.000, 1.954, 4.358], [1.354, 0.000, 4.358], [1.354, 1.954, 0.000]], "species": ["Fe", "Fe"], "fractional_positions": [[0.132, 0.132, 0.868], [0.868, 0.868, 0.132]], "e_form_kcal_per_mol_atoms": 8.04, "de_polymorph_mev_per_atom": 349, "m_tot_mub_per_atom": 2.14}

No. 4
{"formula": "PrNbTl", "functional": "PBE-GGA", "state": "optimized geometry", "lattice": [[0.000, 3.624, 3.624], [3.624, 0.000, 3.624], [3.624, 3.624, 0.000]], "species": ["Pr", "Nb", "Tl"], "fractional_positions": [[0.000, 0.000, 0.000], [0.750, 0.750, 0.750], [0.250, 0.250, 0.250]], "de_polymorph_mev_per_atom": 366, "m_tot_mub_per_atom": 1.01}

No. 5
{"formula": "RbTbSmTe3", "functional": "PBE-GGA", "state": "optimized geometry", "lattice": [[2.408, -8.394, 0.000], [2.408, 8.394, 0.000], [0.000, 0.000, 11.995]], "species": ["Rb", "Rb", "Tb", "Tb", "Sm", "Sm", "Te", "Te", "Te", "Te", "Te", "Te"], "fractional_positions": [[0.245, 0.755, 0.750], [0.755, 0.245, 0.250], [0.033, 0.967, 0.250], [0.967, 0.033, 0.750], [0.500, 0.500, 0.000], [0.500, 0.500, 0.500], [0.127, 0.873, 0.045], [0.127, 0.873, 0.455], [0.430, 0.570, 0.250], [0.570, 0.430, 0.750], [0.873, 0.127, 0.545], [0.873, 0.127, 0.955]], "de_polymorph_mev_per_atom": 71, "m_tot_mub_per_atom": 0.03}

No. 6
{"formula": "Hf4NiPbN2", "functional": "PBE-GGA", "state": "optimized geometry", "lattice": [[3.238, 0.000, 0.000], [-1.619, 2.804, 0.000], [0.000, 0.000, 13.931]], "species": ["Hf", "Hf", "Hf", "Hf", "Ni", "Pb", "N", "N"], "fractional_positions": [[0.000, 0.000, 0.138], [0.000, 0.000, 0.862], [0.333, 0.667, 0.322], [0.333, 0.667, 0.678], [0.333, 0.667, 0.000], [0.000, 0.000, 0.500], [0.667, 0.333, 0.230], [0.667, 0.333, 0.770]], "final_energy_ev_per_atom": -9.13, "m_tot_mub_per_atom": 0.00}

No. 7
{"formula": "RbAg4Se3", "functional": "PBE-GGA", "state": "optimized geometry", "lattice": [[4.318, 0.000, 0.000], [0.000, 4.318, 0.000], [0.000, 0.000, 10.250]], "species": ["Rb", "Ag", "Ag", "Ag", "Ag", "Se", "Se", "Se"], "fractional_positions": [[0.000, 0.000, 0.000], [0.000, 0.500, 0.325], [0.000, 0.500, 0.675], [0.500, 0.000, 0.325], [0.500, 0.000, 0.675], [0.000, 0.000, 0.500], [0.500, 0.500, 0.172], [0.500, 0.500, 0.828]], "final_energy_ev_per_atom": -3.15}

No. 8
{"formula": "Sm2Y2CICl4", "functional": "PBE-GGA", "state": "optimized geometry", "lattice": [[8.670, -1.927, 0.000], [8.670, 1.927, 0.000], [-2.256, 0.000, 8.168]], "species": ["Sm", "Sm", "Y", "Y", "C", "I", "Cl", "Cl", "Cl", "Cl"], "fractional_positions": [[0.147, 0.147, 0.084], [0.853, 0.853, 0.916], [0.500, 0.500, 0.192], [0.500, 0.500, 0.808], [0.000, 0.000, 0.000], [0.000, 0.000, 0.500], [0.332, 0.332, 0.147], [0.336, 0.336, 0.673], [0.664, 0.664, 0.327], [0.668, 0.668, 0.853]], "de_polymorph_mev_per_atom": 7, "m_tot_mub_per_atom": 0.03}

No. 9
{"formula": "MgZnCoB", "functional": "PBE-GGA", "state": "optimized geometry", "lattice": [[0.000, 2.844, 2.844], [2.844, 0.000, 2.844], [2.844, 2.844, 0.000]], "species": ["Mg", "Zn", "Co", "B"], "fractional_positions": [[0.000, 0.000, 0.000], [0.250, 0.250, 0.250], [0.500, 0.500, 0.500], [0.750, 0.750, 0.750]], "de_polymorph_mev_per_atom": 0, "m_tot_mub_per_atom": 0.00}

No. 10
{"formula": "Sc4ZnCuC2", "functional": "PBE-GGA", "state": "optimized geometry", "lattice": [[3.325, 0.000, 0.000], [-1.662, 2.879, 0.000], [0.000, 0.000, 13.864]], "species": ["Sc", "Sc", "Sc", "Sc", "Zn", "Cu", "C", "C"], "fractional_positions": [[0.000, 0.000, 0.150], [0.000, 0.000, 0.850], [0.667, 0.333, 0.328], [0.667, 0.333, 0.672], [0.000, 0.000, 0.500], [0.667, 0.333, 0.000], [0.333, 0.667, 0.237], [0.333, 0.667, 0.763]], "final_energy_ev_per_atom": -6.42, "m_tot_mub_per_atom": 0.00}

No. 11
{"formula": "AgSnBr6", "functional": "PBE-GGA", "state": "optimized geometry", "lattice": [[0.000, 5.017, 5.017], [5.017, 0.000, 5.017], [5.017, 5.017, 0.000]], "species": ["Ag", "Sn", "Br", "Br", "Br", "Br", "Br", "Br"], "fractional_positions": [[0.000, 0.000, 0.000], [0.750, 0.750, 0.750], [0.256, 0.256, 0.744], [0.256, 0.744, 0.256], [0.256, 0.744, 0.744], [0.744, 0.256, 0.256], [0.744, 0.256, 0.744], [0.744, 0.744, 0.256]], "final_energy_ev_per_atom": -2.18}

No. 12
{"formula": "InCuPdS3", "functional": "PBE-GGA", "state": "optimized geometry", "lattice": [[1.839, -6.421, 0.000], [1.839, 6.421, 0.000], [0.000, 0.000, 8.883]], "species": ["In", "In", "Cu", "Cu", "Pd", "Pd", "S", "S", "S", "S", "S", "S"], "fractional_positions": [[0.247, 0.753, 0.750], [0.753, 0.247, 0.250], [0.477, 0.523, 0.250], [0.523, 0.477, 0.750], [0.000, 0.000, 0.000], [0.000, 0.000, 0.500], [0.085, 0.915, 0.250], [0.357, 0.643, 0.060], [0.357, 0.643, 0.440], [0.643, 0.357, 0.560], [0.643, 0.357, 0.940], [0.915, 0.085, 0.750]], "final_energy_ev_per_atom": -4.18}

No. 13
{"formula": "YCoNiPb", "functional": "PBE-GGA", "state": "optimized geometry", "lattice": [[0.000, 3.337, 3.337], [3.337, 0.000, 3.337], [3.337, 3.337, 0.000]], "species": ["Y", "Co", "Ni", "Pb"], "fractional_positions": [[0.000, 0.000, 0.000], [0.500, 0.500, 0.500], [0.250, 0.250, 0.250], [0.750, 0.750, 0.750]], "de_polymorph_mev_per_atom": 283, "m_tot_mub_per_atom": 0.42}

No. 14
{"formula": "PrTe3PbAu", "functional": "PBE-GGA", "state": "optimized geometry", "lattice": [[2.190, -7.444, 0.000], [2.190, 7.444, 0.000], [0.000, 0.000, 11.558]], "species": ["Pr", "Pr", "Te", "Te", "Te", "Te", "Te", "Te", "Pb", "Pb", "Au", "Au"], "fractional_positions": [[0.000, 0.000, 0.000], [0.000, 0.000, 0.500], [0.094, 0.906, 0.750], [0.350, 0.650, 0.562], [0.350, 0.650, 0.938], [0.650, 0.350, 0.062], [0.650, 0.350, 0.438], [0.906, 0.094, 0.250], [0.228, 0.772, 0.250], [0.772, 0.228, 0.750], [0.470, 0.530, 0.750], [0.530, 0.470, 0.250]], "de_polymorph_mev_per_atom": 0, "m_tot_mub_per_atom": 0.00}

No. 15
{"formula": "Ba2Re2O5", "functional": "PBE-GGA", "state": "optimized geometry", "lattice": [[3.508, 0.000, 0.000], [0.000, 3.508, 0.000], [0.000, 0.000, 11.124]], "species": ["Ba", "Ba", "Re", "Re", "O", "O", "O", "O", "O"], "fractional_positions": [[0.000, 0.000, 0.240], [0.000, 0.000, 0.760], [0.500, 0.500, 0.000], [0.500, 0.500, 0.500], [0.000, 0.000, 0.000], [0.000, 0.500, 0.400], [0.000, 0.500, 0.600], [0.500, 0.000, 0.400], [0.500, 0.000, 0.600]], "de_polymorph_mev_per_atom": 856, "m_tot_mub_per_atom": 0.36}

No. 16
{"formula": "NdAl2Ag2", "functional": "PBE-GGA", "state": "optimized geometry", "lattice": [[-2.149, 2.149, 5.653], [2.149, -2.149, 5.653], [2.149, 2.149, -5.653]], "species": ["Nd", "Al", "Al", "Ag", "Ag"], "fractional_positions": [[0.000, 0.000, 0.000], [0.250, 0.750, 0.500], [0.750, 0.250, 0.500], [0.381, 0.381, 0.000], [0.619, 0.619, 0.000]], "de_polymorph_mev_per_atom": 29, "m_tot_mub_per_atom": 0.00}

No. 17
{"formula": "KDyMgS3", "functional": "PBE-GGA", "state": "optimized geometry", "lattice": [[10.789, 0.000, 0.000], [0.000, 4.077, 0.000], [0.000, 0.000, 14.237]], "species": ["K", "K", "K", "K", "Dy", "Dy", "Dy", "Dy", "Mg", "Mg", "Mg", "Mg", "S", "S", "S", "S", "S", "S", "S", "S", "S", "S", "S", "S"], "fractional_positions": [[0.223, 0.250, 0.007], [0.277, 0.750, 0.507], [0.723, 0.250, 0.493], [0.777, 0.750, 0.993], [0.016, 0.750, 0.259], [0.484, 0.250, 0.759], [0.516, 0.750, 0.241], [0.984, 0.250, 0.741], [0.233, 0.750, 0.784], [0.267, 0.250, 0.284], [0.733, 0.750, 0.716], [0.767, 0.250, 0.216], [0.039, 0.750, 0.866], [0.082, 0.250, 0.378], [0.236, 0.250, 0.688], [0.264, 0.750, 0.188], [0.418, 0.750, 0.878], [0.461, 0.250, 0.366], [0.539, 0.750, 0.634], [0.582, 0.250, 0.122], [0.736, 0.250, 0.812], [0.764, 0.750, 0.312], [0.918, 0.750, 0.622], [0.961, 0.250, 0.134]], "final_energy_ev_per_atom": -4.94, "m_tot_mub_per_atom": 0.00}

No. 18
{"formula": "Tm3AlIn2Au3", "functional": "PBE-GGA", "state": "optimized geometry", "lattice": [[3.861, 0.000, 0.000], [0.000, 6.662, 3.799], [0.000, -6.662, 3.799]], "species": ["Tm", "Tm", "Tm", "Al", "In", "In", "Au", "Au", "Au"], "fractional_positions": [[0.000, 0.000, 0.000], [0.000, 0.189, 0.593], [0.000, 0.593, 0.189], [0.500, 0.330, 0.330], [0.500, 0.593, 0.853], [0.500, 0.853, 0.593], [0.000, 0.565, 0.565], [0.500, 0.264, 0.943], [0.500, 0.943, 0.264]], "final_energy_ev_per_atom": -4.36, "m_tot_mub_per_atom": 0.00}

No. 19
{"formula": "Fe2S", "functional": "PBE-GGA", "state": "optimized geometry", "lattice": [[0.000, 4.950, 4.950], [4.950, 0.000, 4.950], [4.950, 4.950, 0.000]], "species": ["Fe", "Fe", "Fe", "Fe", "S", "S"], "fractional_positions": [[0.000, 0.000, 0.000], [0.000, 0.000, 0.500], [0.000, 0.500, 0.000], [0.500, 0.000, 0.000], [0.125, 0.125, 0.125], [0.875, 0.875, 0.875]], "de_polymorph_mev_per_atom": 776, "m_tot_mub_per_atom": 2.00}

No. 20
{"formula": "GdHo2TmTl2", "functional": "PBE-GGA", "state": "optimized geometry", "lattice": [[5.374, 0.000, 0.000], [-2.687, 4.654, 0.000], [0.000, 0.000, 6.696]], "species": ["Gd", "Ho", "Ho", "Tm", "Tl", "Tl"], "fractional_positions": [[0.000, 0.000, 0.000], [0.667, 0.333, 0.254], [0.667, 0.333, 0.746], [0.333, 0.667, 0.500], [0.000, 0.000, 0.500], [0.333, 0.667, 0.000]], "final_energy_ev_per_atom": -4.09, "m_tot_mub_per_atom": 0.20}

No. 21
{"formula": "RbLuCuS3", "functional": "PBE-GGA", "state": "optimized geometry", "lattice": [[8.919, 0.000, 0.000], [0.000, 3.898, 0.000], [-3.313, 0.000, 8.835]], "species": ["Rb", "Rb", "Lu", "Lu", "Cu", "Cu", "S", "S", "S", "S", "S", "S"], "fractional_positions": [[0.212, 0.250, 0.242], [0.788, 0.750, 0.758], [0.329, 0.750, 0.860], [0.671, 0.250, 0.140], [0.083, 0.250, 0.605], [0.917, 0.750, 0.395], [0.123, 0.250, 0.859], [0.186, 0.750, 0.546], [0.472, 0.750, 0.158], [0.528, 0.250, 0.842], [0.814, 0.250, 0.454], [0.877, 0.750, 0.141]], "final_energy_ev_per_atom": -4.86, "m_tot_mub_per_atom": 0.00}

No. 22
{"formula": "NbCdPtAu", "functional": "PBE-GGA", "state": "optimized geometry", "lattice": [[0.000, 3.281, 3.281], [3.281, 0.000, 3.281], [3.281, 3.281, 0.000]], "species": ["Nb", "Cd", "Pt", "Au"], "fractional_positions": [[0.000, 0.000, 0.000], [0.250, 0.250, 0.250], [0.750, 0.750, 0.750], [0.500, 0.500, 0.500]], "e_form_kcal_per_mol_atoms": -2.37, "de_polymorph_mev_per_atom": 86, "m_tot_mub_per_atom": 0.00}

No. 23
{"formula": "Y3Co4B4C3", "functional": "PBE-GGA", "state": "optimized geometry", "lattice": [[-1.773, 1.773, 12.811], [1.773, -1.773, 12.811], [1.773, 1.773, -12.811]], "species": ["Y", "Y", "Y", "Co", "Co", "Co", "Co", "B", "B", "B", "B", "C", "C", "C"], "fractional_positions": [[0.000, 0.000, 0.000], [0.300, 0.300, 0.000], [0.700, 0.700, 0.000], [0.101, 0.601, 0.500], [0.399, 0.899, 0.500], [0.601, 0.101, 0.500], [0.899, 0.399, 0.500], [0.145, 0.145, 0.000], [0.441, 0.441, 0.000], [0.559, 0.559, 0.000], [0.855, 0.855, 0.000], [0.204, 0.204, 0.000], [0.500, 0.500, 0.000], [0.796, 0.796, 0.000]], "final_energy_ev_per_atom": -7.72, "m_tot_mub_per_atom": 0.05}

No. 24
{"formula": "Dy2YMg3Al2Cd", "functional": "PBE-GGA", "state": "optimized geometry", "lattice": [[4.543, 0.000, 0.000], [0.000, 6.420, 3.707], [0.000, -6.420, 3.707]], "species": ["Dy", "Dy", "Y", "Mg", "Mg", "Mg", "Al", "Al", "Cd"], "fractional_positions": [[0.000, 0.214, 0.786], [0.000, 0.786, 0.214], [0.000, 0.357, 0.357], [0.500, 0.032, 0.032], [0.500, 0.540, 0.786], [0.500, 0.786, 0.540], [0.500, 0.119, 0.453], [0.500, 0.453, 0.119], [0.000, 0.786, 0.786]], "final_energy_ev_per_atom": -3.51, "m_tot_mub_per_atom": 0.00}